# 1
DFT (PBE-GGA) results for an optimized crystal structure of CsSr3Si.

a = 6.3580 Å, b = 6.3580 Å, c = 6.3580 Å
α = 90.00°, β = 90.00°, γ = 90.00°
Positions (direct):
Sr: 0.0000 0.5000 0.0000
Sr: 0.0000 0.0000 0.5000
Sr: 0.5000 0.0000 0.0000
Si: 0.0000 0.0000 0.0000
Cs: 0.5000 0.5000 0.5000

Calculated values
Polymorph energy (0 for the lowest one): 0 meV/atom
E_form (uncorrected): -0.039 eV/atom
DFT total energy: -2.30 eV/atom
Volume: 257.02 Å³/cell
Fermi-level density of states: 0.83 states/eV/atom

---

# 2
DFT (PBE-GGA) results for an optimized crystal structure of Ti2Al2Ge.

a = 6.5773 Å, b = 6.5773 Å, c = 4.0608 Å
α = 90.00°, β = 90.00°, γ = 90.00°
Positions (direct):
Al: 0.8536 0.3536 0.5000
Al: 0.3536 0.1464 0.5000
Al: 0.6464 0.8536 0.5000
Al: 0.1464 0.6464 0.5000
Ge: 0.0000 0.0000 0.0000
Ge: 0.5000 0.5000 0.0000
Ti: 0.1542 0.3458 0.0000
Ti: 0.8458 0.6542 0.0000
Ti: 0.3458 0.8458 0.0000
Ti: 0.6542 0.1542 0.0000

Calculated values
Polymorph energy (0 for the lowest one): 85 meV/atom
DFT total energy: -5.87 eV/atom
Volume: 175.68 Å³/cell
Fermi-level density of states: 0.32 states/eV/atom

---

# 3
DFT (PBE-GGA) results for an optimized crystal structure of Rb2TcPF6.

a = 5.8468 Å, b = 5.8468 Å, c = 6.8353 Å
α = 64.68°, β = 64.68°, γ = 90.00°
Last column: magnetic moment on the atom in μB.
Positions (direct):
F: 0.2523 0.2523 0.0000  0.02
F: 0.2523 0.7477 0.0000  0.02
F: 0.7477 0.2523 0.0000  0.02
F: 0.8164 0.8164 0.3672  0.06
F: 0.1836 0.1836 0.6328  0.06
F: 0.7477 0.7477 0.0000  0.02
Tc: 0.0000 0.0000 0.0000  1.56
Rb: 0.2500 0.7500 0.5000  0.00
Rb: 0.7500 0.2500 0.5000  0.00
P: 0.5000 0.5000 0.0000  0.04

Calculated values
E_form (uncorrected): -1.859 eV/atom
DFT total energy: -4.75 eV/atom
Volume: 186.08 Å³/cell
Fermi-level density of states: 0.00 states/eV/atom

---

# 4
DFT (PBE-GGA) results for an optimized crystal structure of Ca2PSe.

a = 7.6476 Å, b = 7.6476 Å, c = 6.4897 Å
α = 53.90°, β = 53.90°, γ = 90.00°
Positions (direct):
Ca: 0.6158 0.1250 0.2500
Ca: 0.1342 0.6250 0.2500
Ca: 0.3750 0.3842 0.7500
Ca: 0.8750 0.8658 0.7500
Se: 0.0000 0.0000 0.0000
Se: 0.7500 0.2500 0.5000
P: 0.2500 0.7500 0.5000
P: 0.5000 0.5000 0.0000

Calculated values
Polymorph energy (0 for the lowest one): 234 meV/atom
E_form (uncorrected): -1.109 eV/atom
DFT total energy: -4.33 eV/atom
Volume: 209.84 Å³/cell
Fermi-level density of states: 0.51 states/eV/atom